Here is CePmCuRu after structural relaxation from the Alexandria database. Energies are from PBE-GGA.

DFT formation energy = -0.1817 eV/atom
symmetry = No. 216

a = 4.955 Å, b = 4.955 Å, c = 4.955 Å
α = 60.00°, β = 60.00°, γ = 60.00°
Sites, in units of the cell vectors:
1 Cu 0.250 0.250 0.250
2 Ce 0.500 0.500 0.500
3 Pm 0.000 0.000 0.000
4 Ru 0.750 0.750 0.750


Here is CePmCuSe4 after structural relaxation from the Alexandria database. Energies are from PBE-GGA.

symmetry = No. 11

a = 7.022 Å, b = 6.044 Å, c = 8.241 Å
α = 90.00°, β = 106.91°, γ = 90.00°
Sites, in units of the cell vectors:
1 Se 0.571 0.250 0.894
2 Se 0.573 0.250 0.389
3 Se 0.985 0.010 0.245
4 Se 0.427 0.750 0.611
5 Se 0.985 0.490 0.245
6 Se 0.015 0.510 0.755
7 Se 0.015 0.990 0.755
8 Se 0.429 0.750 0.106
9 Pm 0.259 0.250 0.066
10 Pm 0.741 0.750 0.934
11 Ce 0.742 0.750 0.437
12 Ce 0.258 0.250 0.563
13 Cu 0.256 0.750 0.316
14 Cu 0.744 0.250 0.684


Here is Ce2PmCuSe5 after structural relaxation from the Alexandria database. Energies are from PBE-GGA.

symmetry = No. 36

a = 4.063 Å, b = 8.989 Å, c = 12.478 Å
α = 90.00°, β = 90.00°, γ = 103.06°
Sites, in units of the cell vectors:
1 Se 0.345 0.691 0.020
2 Se 0.987 0.974 0.516
3 Se 0.494 0.989 0.747
4 Se 0.315 0.629 0.356
5 Se 0.685 0.371 0.856
6 Se 0.303 0.606 0.695
7 Se 0.506 0.011 0.247
8 Se 0.697 0.394 0.195
9 Se 0.013 0.026 0.016
10 Se 0.655 0.309 0.520
11 Pm 0.177 0.355 0.027
12 Pm 0.823 0.645 0.527
13 Cu 0.552 0.104 0.922
14 Cu 0.448 0.896 0.422
15 Ce 0.117 0.233 0.694
16 Ce 0.883 0.767 0.194
17 Ce 0.889 0.777 0.849
18 Ce 0.111 0.223 0.349


What did we get for total magnetic moment? Answer: 0.4, 0.8, 1.9 μB per formula unit, in the order shown.
What did we get for uncorrected energy? Answer: -6.196, -5.464, -5.802 eV per atom, in the order shown.
What did we get for Fermi-level density of states? Answer: 6.4, 15.6, 24.9 states/eV per cell, in the order shown.